Computed, not measured: HfIn3Ir after structural relaxation at the PBE level of DFT.

Summary:
**Polymorph energy (0 for the lowest one)**: 1043 meV/atom

```
5
Lattice="5.413 0.000 0.000 0.000 5.413 0.000 0.000 0.000 5.413" Properties=species:S:1:pos:R:3 pbc="T T T"
Hf 0.000 0.000 0.000
In 0.000 0.000 2.707
In 0.000 2.707 0.000
In 2.707 0.000 0.000
Ir 2.707 2.707 2.707
```



Computed, not measured: Hf4InIr after structural relaxation at the PBE level of DFT.

Summary:
**Raw total energy**: -8.818 eV per atom

```
6
Lattice="5.100 -2.143 0.000 5.100 2.143 0.000 -2.896 0.000 5.678" Properties=species:S:1:pos:R:3 pbc="T T T"
Hf 0.564 0.000 1.655
Hf -0.442 0.000 4.693
Hf 7.745 0.000 0.985
Hf 6.740 0.000 4.024
In 3.652 0.000 2.839
Ir 5.100 0.000 0.000
```



Computed, not measured: Hf11In9Ir4 after structural relaxation at the PBE level of DFT.

Summary:
**Raw total energy**: -7.506 eV per atom

```
24
Lattice="7.087 -10.532 0.000 7.087 10.532 0.000 0.000 0.000 3.330" Properties=species:S:1:pos:R:3 pbc="T T T"
Hf 0.000 0.000 0.000
Hf 3.422 3.669 0.000
Hf 7.087 7.369 0.000
Hf 4.481 0.000 0.000
Hf 7.087 2.608 0.000
Hf 3.422 -3.669 0.000
Hf 10.751 3.669 0.000
Hf 7.087 -2.608 0.000
Hf 9.692 0.000 0.000
Hf 7.087 -7.369 0.000
Hf 10.751 -3.669 0.000
In 2.051 1.517 1.665
In 5.608 5.095 1.665
In 2.051 -1.517 1.665
In 8.565 5.095 1.665
In 7.087 0.000 1.665
In 5.608 -5.095 1.665
In 12.122 1.517 1.665
In 8.565 -5.095 1.665
In 12.122 -1.517 1.665
Ir 4.913 2.176 1.665
Ir 4.913 -2.176 1.665
Ir 9.260 2.176 1.665
Ir 9.260 -2.176 1.665
```